[1]
Compound: IrSeCl2
Source: the Alexandria database
Functional: PBE
Structure: relaxed

```
IrSeCl2
1.0
1.745 1.007 8.280
-1.745 1.007 8.280
0.000 -2.015 8.280
Ir Se Cl
1 1 2
direct
0.000 0.000 0.000
0.500 0.500 0.500
0.280 0.280 0.280
0.720 0.720 0.720
```

Values from the calculation:
Uncorrected formation energy, kJ/mol of formula units: 172
Energy above the lowest structure with this stoichiometry, eV/atom: 0.657

[2]
Compound: IrSeCl
Source: the Alexandria database
Functional: PBE
Structure: relaxed

```
IrSeCl
1.0
-1.509 1.669 6.830
1.509 -1.669 6.830
1.509 1.669 -6.830
Ir Se Cl
1 1 1
direct
0.000 0.000 0.000
0.415 0.415 0.000
0.169 0.169 0.000
```

Values from the calculation:
Uncorrected formation energy, kJ/mol of formula units: 31

[3]
Compound: IrSeCl
Source: the Alexandria database
Functional: PBE
Structure: relaxed

```
IrSeCl
1.0
0.000 3.129 3.129
3.129 0.000 3.129
3.129 3.129 0.000
Ir Se Cl
1 1 1
direct
0.000 0.000 0.000
0.750 0.750 0.750
0.500 0.500 0.500
```

Values from the calculation:
Uncorrected formation energy, kJ/mol of formula units: 304

[4]
Compound: IrSeCl
Source: the Alexandria database
Functional: PBE
Structure: relaxed

```
IrSeCl
1.0
6.406 0.000 0.000
0.000 5.522 0.000
-0.090 0.000 6.846
Ir Se Cl
4 4 4
direct
0.236 0.026 0.352
0.236 0.474 0.852
0.764 0.526 0.148
0.764 0.974 0.648
0.047 0.236 0.090
0.047 0.264 0.590
0.953 0.736 0.410
0.953 0.764 0.910
0.419 0.739 0.113
0.419 0.761 0.613
0.581 0.239 0.387
0.581 0.261 0.887
```

Values from the calculation:
Uncorrected formation energy, kJ/mol of formula units: -54

[5]
Compound: IrSeCl2
Source: the Alexandria database
Functional: PBE
Structure: relaxed

```
IrSeCl2
1.0
0.000 3.253 3.253
3.253 0.000 3.253
3.253 3.253 0.000
Ir Se Cl
1 1 2
direct
0.000 0.000 0.000
0.750 0.750 0.750
0.250 0.250 0.250
0.500 0.500 0.500
```

Values from the calculation:
Uncorrected formation energy, kJ/mol of formula units: 283
Energy above the lowest structure with this stoichiometry, eV/atom: 0.946

[6]
Compound: IrSeCl3
Source: the Alexandria database
Functional: PBE
Structure: relaxed

```
IrSeCl3
1.0
5.081 0.000 0.000
0.000 5.081 0.000
0.000 0.000 5.081
Ir Se Cl
1 1 3
direct
0.000 0.000 0.000
0.500 0.500 0.500
0.000 0.500 0.500
0.500 0.000 0.500
0.500 0.500 0.000
```

Values from the calculation:
Uncorrected formation energy, kJ/mol of formula units: 546
Energy above the lowest structure with this stoichiometry, eV/atom: 1.509

[7]
Compound: IrSe2Cl2
Source: the Alexandria database
Functional: PBE
Structure: relaxed

```
IrSe2Cl2
1.0
3.950 -5.316 0.000
3.950 5.316 0.000
-2.759 0.000 7.287
Ir Se Cl
2 4 4
direct
0.160 0.840 0.000
0.840 0.160 0.000
0.087 0.087 0.807
0.221 0.221 0.195
0.779 0.779 0.805
0.913 0.913 0.193
0.234 0.609 0.775
0.391 0.766 0.225
0.609 0.234 0.775
0.766 0.391 0.225
```

Values from the calculation:
Uncorrected formation energy, kJ/mol of formula units: -77

[8]
Compound: IrSeCl
Source: the Alexandria database
Functional: PBE
Structure: relaxed

```
IrSeCl
1.0
3.612 0.000 0.000
-1.806 3.128 0.000
0.000 0.000 6.495
Ir Se Cl
1 1 1
direct
0.000 0.000 0.000
0.333 0.667 0.192
0.667 0.333 0.773
```

Values from the calculation:
Uncorrected formation energy, kJ/mol of formula units: -103

Look up the uncorrected formation energy of the third one. 304 kJ/mol of formula units

uncorrected formation energy of number 5 (IrSeCl2)? 283 kJ/mol of formula units

What did the sixth record say?
Compound: IrSeCl3
Source: the Alexandria database
Functional: PBE
Structure: relaxed

```
IrSeCl3
1.0
5.081 0.000 0.000
0.000 5.081 0.000
0.000 0.000 5.081
Ir Se Cl
1 1 3
direct
0.000 0.000 0.000
0.500 0.500 0.500
0.000 0.500 0.500
0.500 0.000 0.500
0.500 0.500 0.000
```

Values from the calculation:
Uncorrected formation energy, kJ/mol of formula units: 546
Energy above the lowest structure with this stoichiometry, eV/atom: 1.509

Repeat the first record exactly.
Compound: IrSeCl2
Source: the Alexandria database
Functional: PBE
Structure: relaxed

```
IrSeCl2
1.0
1.745 1.007 8.280
-1.745 1.007 8.280
0.000 -2.015 8.280
Ir Se Cl
1 1 2
direct
0.000 0.000 0.000
0.500 0.500 0.500
0.280 0.280 0.280
0.720 0.720 0.720
```

Values from the calculation:
Uncorrected formation energy, kJ/mol of formula units: 172
Energy above the lowest structure with this stoichiometry, eV/atom: 0.657